AgIr2Pt: optimized geometry, PBE.

It has space group C2/m (No. 12), with a = 9.324 Å, b = 2.772 Å, c = 4.853 Å, α = 90.00°, β = 100.07° and γ = 90.00°. The distinct sites, in fractional coordinates, are Ag at (0.000, 0.000, 0.000), Ir at (0.242, 0.000, 0.740) and Pt at (0.000, 0.500, 0.500).

For the formation energy, the calculation gives 0.24 eV/atom. For the total energy, the calculation gives -51.3 eV per cell.

***

AgIrPt: optimized geometry, PBE.

It has space group Fmm2 (No. 42), with a = 2.750 Å, b = 4.783 Å, c = 14.625 Å, α = 90.00°, β = 90.00° and γ = 90.00°. The distinct sites, in fractional coordinates, are Ag at (0.000, 0.000, 0.000), Ir at (0.000, 0.000, 0.668) and Pt at (0.000, 0.000, 0.330).

For the formation energy, the calculation gives 0.27 eV/atom. For the total energy, the calculation gives -67.8 eV per cell.

***

AgIrPt: optimized geometry, PBE.

It has space group P3m1 (No. 156), with a = 2.7940 Å, b = 2.7940 Å, c = 7.0239 Å, α = 90.00°, β = 90.00° and γ = 120.00°. The distinct sites, in fractional coordinates, are Ag at (0.0000, 0.0000, 0.0000), Ir at (0.6667, 0.3333, 0.3408) and Pt at (0.3333, 0.6667, 0.6557).

For the formation energy, the calculation gives 0.19 eV/atom. For the total energy, the calculation gives -17.2 eV per cell.

***

Ag2IrPt: optimized geometry, PBE.

It has space group P4/mmm (No. 123), with a = 2.745 Å, b = 2.745 Å, c = 8.680 Å, α = 90.00°, β = 90.00° and γ = 90.00°. The distinct sites, in fractional coordinates, are Ag at (0.000, 0.000, 0.250), Ir at (0.500, 0.500, 0.000) and Pt at (0.500, 0.500, 0.500).

For the formation energy, the calculation gives 0.33 eV/atom. For the total energy, the calculation gives -19.3 eV per cell.

***

AgIr2Pt: optimized geometry, PBE.

It has space group Imm2 (No. 44), with a = 2.745 Å, b = 4.770 Å, c = 9.706 Å, α = 90.00°, β = 90.00° and γ = 90.00°. The distinct sites, in fractional coordinates, are Ag at (0.000, 0.000, 0.000), Ir at (0.000, 0.000, 0.488), Ir at (0.000, 0.500, 0.762) and Pt at (0.000, 0.500, 0.232).

For the formation energy, the calculation gives 0.34 eV/atom. For the total energy, the calculation gives -50.5 eV per cell.

***

AgIrPt: optimized geometry, PBE.

It has space group I4mm (No. 107), with a = 2.767 Å, b = 2.767 Å, c = 12.513 Å, α = 90.00°, β = 90.00° and γ = 90.00°. The distinct sites, in fractional coordinates, are Ag at (0.000, 0.000, 0.000), Ir at (0.000, 0.000, 0.673) and Pt at (0.000, 0.000, 0.324).

For the formation energy, the calculation gives 0.23 eV/atom. For the total energy, the calculation gives -34.1 eV per cell.

***

Pu4AgIrPt2: optimized geometry, PBE.

It has space group R-3m (No. 166, hexagonal axes), with a = 5.0222 Å, b = 5.0222 Å, c = 24.1155 Å, α = 90.00°, β = 90.00° and γ = 120.00°. The distinct sites, in fractional coordinates, are Pu at (0.0000, 0.0000, 0.1154), Pu at (0.0000, 0.0000, 0.3662), Ag at (0.0000, 0.0000, 0.5000), Ir at (0.0000, 0.0000, 0.0000) and Pt at (0.0000, 0.0000, 0.2383).

For the formation energy, the calculation gives -0.48 eV/atom. For the total energy, the calculation gives -254.8 eV per cell.

***

RbAgIr2Pt: optimized geometry, PBE.

It has space group P4/mmm (No. 123), with a = 4.837 Å, b = 4.837 Å, c = 5.056 Å, α = 90.00°, β = 90.00° and γ = 90.00°. The distinct sites, in fractional coordinates, are Rb at (0.000, 0.000, 0.000), Ag at (0.000, 0.000, 0.500), Ir at (0.000, 0.500, 0.000) and Pt at (0.500, 0.500, 0.500).

For the formation energy, the calculation gives 2.90 eV/atom. For the total energy, the calculation gives -13.1 eV per cell.

***

Rb2AgIrPt: optimized geometry, PBE.

It has space group P4/mmm (No. 123), with a = 6.430 Å, b = 6.430 Å, c = 5.058 Å, α = 90.00°, β = 90.00° and γ = 90.00°. The distinct sites, in fractional coordinates, are Rb at (0.000, 0.500, 0.000), Ag at (0.000, 0.000, 0.000), Ir at (0.500, 0.500, 0.500) and Pt at (0.000, 0.000, 0.500).

For the formation energy, the calculation gives 1.27 eV/atom. For the total energy, the calculation gives -13.3 eV per cell.

***

Pu3AgIr2: optimized geometry, PBE.

It has space group P4/mmm (No. 123), with a = 2.833 Å, b = 2.833 Å, c = 13.748 Å, α = 90.00°, β = 90.00° and γ = 90.00°. The distinct sites, in fractional coordinates, are Pu at (0.000, 0.000, 0.000), Pu at (0.000, 0.000, 0.315), Ag at (0.500, 0.500, 0.500) and Ir at (0.500, 0.500, 0.166).

For the formation energy, the calculation gives 0.29 eV/atom. For the total energy, the calculation gives -61.9 eV per cell.

***

PuScAgIr: optimized geometry, PBE.

It has space group F-43m (No. 216), with a = 6.876 Å, b = 6.876 Å, c = 6.876 Å, α = 90.00°, β = 90.00° and γ = 90.00°. The distinct sites, in fractional coordinates, are Pu at (0.000, 0.000, 0.000), Sc at (0.000, 0.000, 0.500), Ag at (0.250, 0.250, 0.750) and Ir at (0.250, 0.250, 0.250).

For the formation energy, the calculation gives -0.33 eV/atom. For the total energy, the calculation gives -134.7 eV per cell.

***

PuAgSnIr: optimized geometry, PBE.

It has space group F-43m (No. 216), with a = 6.888 Å, b = 6.888 Å, c = 6.888 Å, α = 90.00°, β = 90.00° and γ = 90.00°. The distinct sites, in fractional coordinates, are Pu at (0.000, 0.000, 0.000), Ag at (0.250, 0.250, 0.250), Sn at (0.000, 0.000, 0.500) and Ir at (0.250, 0.250, 0.750).

For the formation energy, the calculation gives -0.14 eV/atom. For the total energy, the calculation gives -122.5 eV per cell.